Entry 1:
BiPIr3: optimized geometry, PBE.

## Properties
E_tot ... -4.771 eV per atom
Energy above the lowest structure with this stoichiometry ... 1977.2 meV/atom
ΔH_f (0 K) ... 2403 meV/atom
Mass density ... 11.0 g/cm3
Space group ... Pm-3m

Unit cell a=4.9715 b=4.9715 c=4.9715 alpha=90.00 beta=90.00 gamma=90.00
Last column: nearest neighbours and their distance in Å.
Fractional coordinates of all 5 atoms:
Ir  0.0000  0.0000  0.5000  2 Bi 2.49
Ir  0.0000  0.5000  0.0000  2 Bi 2.49
Ir  0.5000  0.0000  0.0000  2 Bi 2.49
Bi  0.0000  0.0000  0.0000  6 Ir 2.49
P  0.5000  0.5000  0.5000  12 Ir 3.52

=====

Entry 2:
Tl3Te2S4: optimized geometry, PBE.

## Properties
ΔE_f (raw) ... -158 meV per atom
E_tot ... -3.480 eV per atom
Energy above the lowest structure with this stoichiometry ... 0.0 meV/atom
Mass density ... 6.0 g/cm3
Space group ... C2/c

Unit cell a=7.9344 b=8.9705 c=8.9704 alpha=72.57 beta=70.30 gamma=70.30
Last column: nearest neighbours and their distance in Å.
Fractional coordinates of all 18 atoms:
S  0.5901  0.3063  0.3623  1 Te 2.40
S  0.4099  0.6937  0.6377  1 Te 2.40
S  0.9099  0.6377  0.6937  1 Te 2.40
S  0.0318  0.7932  0.0611  1 Te 2.38
S  0.9682  0.2068  0.9389  1 Te 2.38
S  0.5318  0.0611  0.7932  1 Te 2.38
S  0.0901  0.3623  0.3063  1 Te 2.40
S  0.4682  0.9389  0.2068  1 Te 2.38
Te  0.1148  0.4220  0.8344  2 S 2.38-2.40
Te  0.8852  0.5780  0.1656  2 S 2.38-2.40
Te  0.3852  0.1656  0.5780  2 S 2.38-2.40
Te  0.6148  0.8344  0.4220  2 S 2.38-2.40
Tl  0.7500  0.3739  0.6261  6 S 3.21-3.48
Tl  0.4956  0.2792  0.0676  3 S 2.99-3.19
Tl  0.5044  0.7208  0.9324  3 S 2.99-3.19
Tl  0.9956  0.0676  0.2792  3 S 2.99-3.19
Tl  0.2500  0.6261  0.3739  6 S 3.21-3.48
Tl  0.0044  0.9324  0.7208  3 S 2.99-3.19

=====

Entry 3:
MgZnSi: optimized geometry, PBE.

## Properties
ΔE_f (raw) ... 107 meV per atom
E_tot ... -2.657 eV per atom
Mass density ... 3.7 g/cm3
Space group ... P1

Unit cell a=8.0086 b=3.0303 c=4.5897 alpha=89.97 beta=73.36 gamma=78.85
Last column: nearest neighbours and their distance in Å.
Fractional coordinates of all 6 atoms:
Mg  0.4176  0.9940  0.2085  5 Si 2.75-2.83, 3 Zn 2.86-2.96, 2 Mg 3.03
Mg  0.8064  0.2974  0.1764  5 Si 2.80-2.89, 4 Zn 2.92-3.00, 2 Mg 3.03
Zn  0.1500  0.6260  0.0070  1 Si 2.59, 4 Zn 2.83-2.87
Zn  0.0506  0.1791  0.5606  2 Si 2.82-2.84, 6 Zn 2.83-3.03, 3 Mg 2.86-2.96
Si  0.4780  0.4632  0.6684  2 Si 2.57, 1 Zn 2.59, 4 Mg 2.75-2.83
Si  0.7328  0.8337  0.7146  2 Si 2.57, 5 Mg 2.80-2.83, 2 Zn 2.82-2.84

=====

Entry 4:
Li2La3: optimized geometry, PBE.

## Properties
E_tot ... -3.610 eV per atom
ΔH_f (0 K) ... 112 meV/atom
Mass density ... 4.4 g/cm3
Space group ... R-3m

Unit cell a=14.2425 b=14.2425 c=14.2425 alpha=14.64 beta=14.64 gamma=14.64
Last column: nearest neighbours and their distance in Å.
Fractional coordinates of all 5 atoms:
La  0.2017  0.2017  0.2017  3 Li 3.50, 9 La 3.63
La  0.0000  0.0000  0.0000  6 Li 3.46, 6 La 3.63
La  0.7983  0.7983  0.7983  3 Li 3.50, 9 La 3.63
Li  0.6014  0.6014  0.6014  6 La 3.46-3.50, 6 Li 3.63
Li  0.3986  0.3986  0.3986  6 La 3.46-3.50, 6 Li 3.63